Compound: BaIn3Hg3
Source: Alexandria via LeMat-Bulk
Functional: PBE
Structure: optimized geometry

Values from the calculation:
The total magnetization is 0.00 μB/f.u. The value obtained for the energy of formation from the pure elements is -208 meV per atom. The energy above the most stable polymorph in this dataset comes out at 0.12 eV/f.u. Its energy is -1.7854 eV/atom.

Unit cell a=9.211 b=9.211 c=5.635 alpha=90.00 beta=90.00 gamma=120.00
Atoms (fractional coordinates):
Hg: 0.361 0.454 0.250
Hg: 0.454 0.093 0.750
Hg: 0.093 0.639 0.250
Hg: 0.546 0.907 0.250
Hg: 0.907 0.361 0.750
Hg: 0.639 0.546 0.750
In: 0.784 0.979 0.750
In: 0.216 0.021 0.250
In: 0.979 0.195 0.250
In: 0.021 0.805 0.750
In: 0.805 0.784 0.250
In: 0.195 0.216 0.750
Ba: 0.333 0.667 0.750
Ba: 0.667 0.333 0.250



Compound: BaIn5Hg8
Source: Alexandria via LeMat-Bulk
Functional: PBE
Structure: optimized geometry

Values from the calculation:
The total magnetization is 0.00 μB/f.u. The value obtained for the energy of formation from the pure elements is -112 meV per atom. Its energy is -1.3995 eV/atom.

Unit cell a=8.031 b=8.040 c=8.040 alpha=108.08 beta=110.22 gamma=110.17
Atoms (fractional coordinates):
Hg: 0.231 0.331 0.283
Hg: 0.405 0.916 0.654
Hg: 0.769 0.052 0.101
Hg: 0.738 0.488 0.083
Hg: 0.595 0.249 0.511
Hg: 0.949 0.899 0.669
Hg: 0.262 0.345 0.750
Hg: 0.051 0.720 0.950
In: 0.596 0.650 0.728
In: 0.076 0.946 0.350
In: 0.000 0.500 0.500
In: 0.924 0.274 0.870
In: 0.404 0.132 0.053
Ba: 0.500 0.749 0.249



Compound: BaIn12Hg6
Source: Alexandria via LeMat-Bulk
Functional: PBE
Structure: optimized geometry

Values from the calculation:
The total magnetization is 0.00 μB/f.u. The value obtained for the energy of formation from the pure elements is -58 meV per atom. The energy above the most stable polymorph in this dataset comes out at 0.00 eV/f.u. Its energy is -1.9845 eV/atom.

Unit cell a=9.364 b=9.364 c=9.364 alpha=56.88 beta=56.88 gamma=56.88
Atoms (fractional coordinates):
In: 0.669 0.076 0.785
In: 0.600 0.808 0.397
In: 0.400 0.192 0.603
In: 0.215 0.331 0.924
In: 0.603 0.400 0.192
In: 0.192 0.603 0.400
In: 0.785 0.669 0.076
In: 0.808 0.397 0.600
In: 0.076 0.785 0.669
In: 0.924 0.215 0.331
In: 0.331 0.924 0.215
In: 0.397 0.600 0.808
Hg: 0.516 0.204 0.102
Hg: 0.204 0.102 0.516
Hg: 0.102 0.516 0.204
Hg: 0.484 0.796 0.898
Hg: 0.796 0.898 0.484
Hg: 0.898 0.484 0.796
Ba: 0.000 0.000 0.000



Compound: Ba3In2Hg3
Source: Alexandria via LeMat-Bulk
Functional: PBE
Structure: optimized geometry

Values from the calculation:
The total magnetization is 0.00 μB/f.u. The value obtained for the energy of formation from the pure elements is -462 meV per atom. Its energy is -1.9812 eV/atom.

Unit cell a=5.140 b=6.799 c=17.216 alpha=90.00 beta=90.00 gamma=112.21
Atoms (fractional coordinates):
Ba: 0.620 0.240 0.250
Ba: 0.092 0.184 0.898
Ba: 0.908 0.816 0.102
Ba: 0.092 0.184 0.602
Ba: 0.908 0.816 0.398
Ba: 0.380 0.760 0.750
Hg: 0.613 0.225 0.458
Hg: 0.613 0.225 0.042
Hg: 0.387 0.775 0.542
Hg: 0.665 0.330 0.750
Hg: 0.387 0.775 0.958
Hg: 0.335 0.670 0.250
In: 0.205 0.410 0.403
In: 0.795 0.590 0.597
In: 0.205 0.410 0.097
In: 0.795 0.590 0.903



Compound: Ba2In7Hg12
Source: Alexandria via LeMat-Bulk
Functional: PBE
Structure: optimized geometry

Values from the calculation:
The total magnetization is 0.00 μB/f.u. The value obtained for the energy of formation from the pure elements is -156 meV per atom. Its energy is -1.4247 eV/atom.

Unit cell a=5.271 b=11.460 c=11.460 alpha=120.00 beta=90.00 gamma=90.00
Atoms (fractional coordinates):
Ba: 0.793 0.667 0.333
Ba: 0.207 0.333 0.667
In: 0.328 0.883 0.269
In: 0.672 0.614 0.883
In: 0.672 0.117 0.731
In: 0.328 0.386 0.117
In: 0.500 0.000 0.000
In: 0.328 0.731 0.614
In: 0.672 0.269 0.386
Hg: 0.824 0.871 0.129
Hg: 0.176 0.129 0.258
Hg: 0.176 0.742 0.871
Hg: 0.774 0.055 0.453
Hg: 0.226 0.602 0.055
Hg: 0.824 0.871 0.742
Hg: 0.774 0.398 0.945
Hg: 0.774 0.547 0.602
Hg: 0.176 0.129 0.871
Hg: 0.226 0.453 0.398
Hg: 0.226 0.945 0.547
Hg: 0.824 0.258 0.129



Compound: Ba12InHg5
Source: Alexandria via LeMat-Bulk
Functional: PBE
Structure: optimized geometry

Values from the calculation:
The total magnetization is 0.00 μB/f.u. The value obtained for the energy of formation from the pure elements is -321 meV per atom. Its energy is -1.8385 eV/atom.

Unit cell a=10.227 b=10.227 c=10.227 alpha=106.39 beta=112.69 gamma=109.39
Atoms (fractional coordinates):
Ba: 0.705 0.338 0.043
Ba: 0.185 0.430 0.245
Ba: 0.815 0.570 0.755
Ba: 0.445 0.173 0.273
Ba: 0.555 0.827 0.727
Ba: 0.815 0.061 0.245
Ba: 0.900 0.173 0.727
Ba: 0.100 0.827 0.273
Ba: 0.705 0.662 0.366
Ba: 0.295 0.338 0.634
Ba: 0.185 0.939 0.755
Ba: 0.295 0.662 0.957
Hg: 0.341 0.341 0.000
Hg: 0.500 0.870 0.370
Hg: 0.659 0.659 0.000
Hg: 0.000 0.000 0.000
Hg: 0.500 0.130 0.630
In: 0.000 0.500 0.500



Compound: BaIn2Hg
Source: Alexandria via LeMat-Bulk
Functional: PBE
Structure: optimized geometry

Values from the calculation:
The total magnetization is 0.00 μB/f.u. The value obtained for the energy of formation from the pure elements is -288 meV per atom. Its energy is -2.2132 eV/atom.

Unit cell a=4.756 b=3.922 c=7.224 alpha=73.83 beta=90.00 gamma=90.00
Atoms (fractional coordinates):
In: 0.000 0.804 0.022
In: 0.500 0.224 0.179
Hg: 0.500 0.926 0.766
Ba: 0.000 0.546 0.532



Compound: Ba3In2Hg9
Source: Alexandria via LeMat-Bulk
Functional: PBE
Structure: optimized geometry

Values from the calculation:
The total magnetization is 0.00 μB/f.u. The value obtained for the energy of formation from the pure elements is -372 meV per atom. Its energy is -1.3691 eV/atom.

Unit cell a=5.345 b=10.134 c=9.596 alpha=121.87 beta=106.17 gamma=90.00
Atoms (fractional coordinates):
Ba: 0.287 0.287 0.575
Ba: 0.713 0.713 0.425
Ba: 0.000 0.000 0.000
In: 0.500 0.330 0.000
In: 0.500 0.670 0.000
Hg: 0.654 0.298 0.308
Hg: 0.346 0.990 0.692
Hg: 0.857 0.567 0.713
Hg: 0.654 0.010 0.308
Hg: 0.857 0.146 0.713
Hg: 0.143 0.433 0.287
Hg: 0.143 0.854 0.287
Hg: 0.346 0.702 0.692
Hg: 0.000 0.500 0.000



Compound: Ba6InHg
Source: Alexandria via LeMat-Bulk
Functional: PBE
Structure: optimized geometry

Values from the calculation:
The total magnetization is 0.00 μB/f.u. The value obtained for the energy of formation from the pure elements is -240 meV per atom. Its energy is -2.0626 eV/atom.

Unit cell a=6.098 b=6.098 c=11.869 alpha=75.11 beta=75.11 gamma=90.00
Atoms (fractional coordinates):
Ba: 0.590 0.090 0.819
Ba: 0.910 0.410 0.181
Ba: 0.254 0.254 0.492
Ba: 0.090 0.590 0.819
Ba: 0.410 0.910 0.181
Ba: 0.746 0.746 0.508
Hg: 0.000 0.000 0.000
In: 0.500 0.500 0.000



Compound: BaIn8Hg6
Source: Alexandria via LeMat-Bulk
Functional: PBE
Structure: optimized geometry

Values from the calculation:
The total magnetization is 0.00 μB/f.u. The value obtained for the energy of formation from the pure elements is -100 meV per atom. Its energy is -1.8093 eV/atom.

Unit cell a=7.762 b=7.762 c=7.762 alpha=74.27 beta=74.27 gamma=74.27
Atoms (fractional coordinates):
In: 0.219 0.219 0.219
In: 0.145 0.813 0.464
In: 0.855 0.187 0.536
In: 0.187 0.536 0.855
In: 0.536 0.855 0.187
In: 0.781 0.781 0.781
In: 0.464 0.145 0.813
In: 0.813 0.464 0.145
Ba: 0.000 0.000 0.000
Hg: 0.834 0.658 0.420
Hg: 0.658 0.420 0.834
Hg: 0.420 0.834 0.658
Hg: 0.166 0.342 0.580
Hg: 0.342 0.580 0.166
Hg: 0.580 0.166 0.342